# PBE Ac3PrAu4, optimized geometry
data_Ac3PrAu4
_symmetry_space_group_name_H-M 'P 1'
_symmetry_Int_Tables_number 1
_symmetry_space_group_name_Hall 'P 1'
_cell_length_a 3.873
_cell_length_b 3.873
_cell_length_c 15.437
_cell_angle_alpha 90.00
_cell_angle_beta 90.00
_cell_angle_gamma 90.00
loop_
_atom_site_label
_atom_site_type_symbol
_atom_site_fract_x
_atom_site_fract_y
_atom_site_fract_z
Pr1 Pr 0.500 0.500 0.000
Ac1 Ac 0.500 0.500 0.246
Ac2 Ac 0.500 0.500 0.500
Ac3 Ac 0.500 0.500 0.754
Au1 Au 0.000 0.000 0.888
Au2 Au 0.000 0.000 0.112
Au3 Au 0.000 0.000 0.372
Au4 Au 0.000 0.000 0.628
# - formation energy from the elements (meV per atom) = -760
# - DFT total energy (eV/atom) = -4.5366
# - volume (Å³/cell) = 231.5
# - total moment (μB/cell) = 0.00